Here is a PBEsol-optimized structure of MnBe2Ru from Alexandria via LeMat-Bulk. Energies are from SCAN.

Values from the calculation:
**Total magnetization**: 3.15 Bohr magnetons per cell
**SG**: No. 35
**Energy**: -61.261 eV for the cell shown
**Volume**: 42.91 Å³ per cell

Unit cell a=2.4805 b=2.4805 c=7.5531 alpha=90.00 beta=90.00 gamma=112.57
Element x y z (fractional)
Mn  0.0000  0.0000  0.0000
Be  0.0000  0.0000  0.4734
Be  0.5000  0.5000  0.2375
Ru  0.5000  0.5000  0.7231


Here is a PBEsol-optimized structure of NaCu6O8 from Alexandria via LeMat-Bulk. Energies are from SCAN.

Values from the calculation:
**Total magnetization**: 0.00 Bohr magnetons per cell
**Uncorrected formation energy**: -0.782 eV/atom
**SG**: No. 225
**Energy**: -156.996 eV for the cell shown
**Volume**: 182.85 Å³ per cell

Unit cell a=6.3709 b=6.3709 c=6.3709 alpha=60.00 beta=60.00 gamma=60.00
Element x y z (fractional)
Na  0.0000  0.0000  0.0000
Cu  0.0000  0.0000  0.5000
Cu  0.0000  0.5000  0.0000
Cu  0.0000  0.5000  0.5000
Cu  0.5000  0.0000  0.0000
Cu  0.5000  0.0000  0.5000
Cu  0.5000  0.5000  0.0000
O  0.1448  0.1448  0.1448
O  0.1448  0.1448  0.5655
O  0.1448  0.5655  0.1448
O  0.4345  0.8552  0.8552
O  0.5655  0.1448  0.1448
O  0.8552  0.4345  0.8552
O  0.8552  0.8552  0.4345
O  0.8552  0.8552  0.8552


Here is a PBEsol-optimized structure of Sr5Ca5P6Cl2O24 from Alexandria via LeMat-Bulk. Energies are from SCAN.

Values from the calculation:
**Total magnetization**: 0.00 Bohr magnetons per cell
**Uncorrected formation energy**: -3.197 eV/atom
**SG**: No. 6
**Energy**: -521.861 eV for the cell shown
**Volume**: 571.32 Å³ per cell

Unit cell a=9.7454 b=6.9396 c=9.7455 alpha=90.00 beta=119.91 gamma=90.00
Element x y z (fractional)
Sr  0.0000  0.0000  0.0000
Sr  0.0015  0.5000  0.2510
Sr  0.2522  0.5000  0.9972
Sr  0.5018  0.5000  0.5038
Sr  0.5050  0.0000  0.2532
Ca  0.2693  0.0000  0.5186
Ca  0.5865  0.2526  0.9204
Ca  0.5865  0.7474  0.9204
Ca  0.9175  0.2475  0.5839
Ca  0.9175  0.7525  0.5839
P  0.2228  0.5000  0.6311
P  0.2857  0.0000  0.8698
P  0.6297  0.0000  0.6661
P  0.6690  0.5000  0.2883
P  0.8356  0.0000  0.2158
P  0.8725  0.5000  0.8359
Cl  0.2521  0.2455  0.2536
Cl  0.2521  0.7545  0.2536
O  0.1057  0.0000  0.7496
O  0.1160  0.5000  0.7086
O  0.1789  0.3182  0.5245
O  0.1789  0.6818  0.5245
O  0.3373  0.1793  0.9782
O  0.3373  0.8207  0.9782
O  0.3850  0.0000  0.7843
O  0.4007  0.5000  0.7591
O  0.5194  0.1779  0.6073
O  0.5194  0.8221  0.6073
O  0.6108  0.3205  0.3385
O  0.6112  0.5000  0.1086
O  0.6108  0.6795  0.3385
O  0.6512  0.0000  0.1138
O  0.7133  0.0000  0.8499
O  0.7510  0.0000  0.6074
O  0.7509  0.5000  0.8943
O  0.7888  0.5000  0.6518
O  0.8534  0.5000  0.3890
O  0.8912  0.0000  0.3950
O  0.8926  0.1800  0.1650
O  0.8926  0.8200  0.1650
O  0.9811  0.3206  0.8936
O  0.9811  0.6794  0.8936


Here is a PBEsol-optimized structure of Li2FeSi from Alexandria via LeMat-Bulk. Energies are from SCAN.

Values from the calculation:
**Total magnetization**: 2.84 Bohr magnetons per cell
**Uncorrected formation energy**: 0.096 eV/atom
**SG**: No. 123
**Energy**: -32.541 eV for the cell shown
**Volume**: 51.14 Å³ per cell

Unit cell a=2.4656 b=2.4656 c=8.4118 alpha=90.00 beta=90.00 gamma=90.00
Element x y z (fractional)
Li  0.0000  0.0000  0.2447
Li  0.0000  0.0000  0.7553
Fe  0.5000  0.5000  0.5000
Si  0.5000  0.5000  0.0000


Q: Among the records above, which one has the lowest energy?
A: Sr5Ca5P6Cl2O24


Q: Among the records above, which one has the highest total magnetization?
A: MnBe2Ru